No. 1
{
  "formula": "Na6Cd23Ge",
  "functional": "GGA-PBE",
  "state": "optimized geometry",
  "lattice": [[0.000, 7.060, 7.060], [7.060, 0.000, 7.060], [7.060, 7.060, 0.000]],
  "species": ["Na", "Na", "Na", "Na", "Na", "Na", "Cd", "Cd", "Cd", "Cd", "Cd", "Cd", "Cd", "Cd", "Cd", "Cd", "Cd", "Cd", "Cd", "Cd", "Cd", "Cd", "Cd", "Cd", "Cd", "Cd", "Cd", "Cd", "Cd", "Ge"],
  "fractional_positions": [[0.229, 0.229, 0.771], [0.229, 0.771, 0.229], [0.229, 0.771, 0.771], [0.771, 0.229, 0.229], [0.771, 0.229, 0.771], [0.771, 0.771, 0.229], [0.000, 0.000, 0.500], [0.000, 0.500, 0.000], [0.000, 0.500, 0.500], [0.124, 0.625, 0.625], [0.145, 0.145, 0.145], [0.145, 0.145, 0.566], [0.145, 0.566, 0.145], [0.375, 0.375, 0.375], [0.375, 0.375, 0.876], [0.375, 0.876, 0.375], [0.434, 0.855, 0.855], [0.500, 0.000, 0.000], [0.500, 0.000, 0.500], [0.500, 0.500, 0.000], [0.500, 0.500, 0.500], [0.566, 0.145, 0.145], [0.625, 0.124, 0.625], [0.625, 0.625, 0.124], [0.625, 0.625, 0.625], [0.855, 0.434, 0.855], [0.855, 0.855, 0.434], [0.855, 0.855, 0.855], [0.876, 0.375, 0.375], [0.000, 0.000, 0.000]],
  "formation_enthalpy_0k_mev_per_atom": -45,
  "magmom_total_mub_per_cell": 0.00,
  "sg": "Fm-3m (225)"
}

No. 2
{
  "formula": "NaCdGe4",
  "functional": "GGA-PBE",
  "state": "optimized geometry",
  "lattice": [[0.000, 4.014, 4.014], [4.014, 0.000, 4.014], [4.014, 4.014, 0.000]],
  "species": ["Na", "Cd", "Ge", "Ge", "Ge", "Ge"],
  "fractional_positions": [[0.000, 0.000, 0.000], [0.750, 0.750, 0.750], [0.375, 0.375, 0.375], [0.375, 0.375, 0.874], [0.375, 0.874, 0.375], [0.874, 0.375, 0.375]],
  "formation_enthalpy_0k_mev_per_atom": 152,
  "magmom_total_mub_per_cell": 0.00,
  "sg": "F-43m (216)"
}

No. 3
{
  "formula": "NaCd4Ge",
  "functional": "GGA-PBE",
  "state": "optimized geometry",
  "lattice": [[0.000, 4.144, 4.144], [4.144, 0.000, 4.144], [4.144, 4.144, 0.000]],
  "species": ["Na", "Cd", "Cd", "Cd", "Cd", "Ge"],
  "fractional_positions": [[0.000, 0.000, 0.000], [0.375, 0.375, 0.375], [0.375, 0.375, 0.875], [0.375, 0.875, 0.375], [0.875, 0.375, 0.375], [0.750, 0.750, 0.750]],
  "formation_enthalpy_0k_mev_per_atom": 66,
  "magmom_total_mub_per_cell": 0.00,
  "sg": "F-43m (216)"
}

No. 4
{
  "formula": "NaCd3Ge",
  "functional": "GGA-PBE",
  "state": "optimized geometry",
  "lattice": [[5.281, 0.000, 0.000], [0.000, 5.281, 0.000], [0.000, 0.000, 5.281]],
  "species": ["Na", "Cd", "Cd", "Cd", "Ge"],
  "fractional_positions": [[0.000, 0.000, 0.000], [0.000, 0.000, 0.500], [0.000, 0.500, 0.000], [0.500, 0.000, 0.000], [0.500, 0.500, 0.500]],
  "formation_enthalpy_0k_mev_per_atom": 734,
  "magmom_total_mub_per_cell": 0.00,
  "relative_energy_ev_per_atom": 0.765,
  "sg": "Pm-3m (221)"
}

No. 5
{
  "formula": "NaCd2Ge2",
  "functional": "GGA-PBE",
  "state": "optimized geometry",
  "lattice": [[-2.112, 2.112, 6.600], [2.112, -2.112, 6.600], [2.112, 2.112, -6.600]],
  "species": ["Na", "Cd", "Cd", "Ge", "Ge"],
  "fractional_positions": [[0.000, 0.000, 0.000], [0.396, 0.396, 0.000], [0.604, 0.604, 0.000], [0.250, 0.750, 0.500], [0.750, 0.250, 0.500]],
  "formation_enthalpy_0k_mev_per_atom": 31,
  "magmom_total_mub_per_cell": 0.00,
  "relative_energy_ev_per_atom": 0.077,
  "sg": "I4/mmm (139)"
}

No. 6
{
  "formula": "NaNdCdGe",
  "functional": "GGA-PBE",
  "state": "optimized geometry",
  "lattice": [[0.000, 3.674, 3.674], [3.674, 0.000, 3.674], [3.674, 3.674, 0.000]],
  "species": ["Na", "Nd", "Cd", "Ge"],
  "fractional_positions": [[0.000, 0.000, 0.000], [0.500, 0.500, 0.500], [0.750, 0.750, 0.750], [0.250, 0.250, 0.250]],
  "formation_enthalpy_0k_mev_per_atom": -313,
  "magmom_total_mub_per_cell": 0.00,
  "sg": "F-43m (216)"
}

No. 7
{
  "formula": "NaCd2NiGe",
  "functional": "GGA-PBE",
  "state": "optimized geometry",
  "lattice": [[5.049, 0.000, 0.000], [0.000, 5.049, 0.000], [0.000, 0.000, 4.489]],
  "species": ["Na", "Cd", "Cd", "Ni", "Ge"],
  "fractional_positions": [[0.000, 0.000, 0.000], [0.000, 0.500, 0.500], [0.500, 0.000, 0.500], [0.500, 0.500, 0.500], [0.500, 0.500, 0.000]],
  "formation_enthalpy_0k_mev_per_atom": -42,
  "magmom_total_mub_per_cell": 0.00,
  "sg": "P4/mmm (123)"
}

No. 8
{
  "formula": "Na3Cd2GeO6",
  "functional": "GGA-PBE",
  "state": "optimized geometry",
  "lattice": [[2.827, -4.865, 0.000], [2.827, 4.865, 0.000], [-1.961, 0.000, 5.465]],
  "species": ["Na", "Na", "Na", "Cd", "Cd", "Ge", "O", "O", "O", "O", "O", "O"],
  "fractional_positions": [[0.000, 0.000, 0.000], [0.334, 0.666, 0.000], [0.666, 0.334, 0.000], [0.167, 0.833, 0.500], [0.833, 0.167, 0.500], [0.500, 0.500, 0.500], [0.145, 0.431, 0.288], [0.285, 0.285, 0.702], [0.431, 0.145, 0.288], [0.569, 0.855, 0.712], [0.715, 0.715, 0.298], [0.855, 0.569, 0.712]],
  "magmom_total_mub_per_cell": 1.09,
  "sg": "C2/m (12)",
  "raw_formation_energy_ev_per_atom": -1.355
}

No. 9
{
  "formula": "Na2CdGeO4",
  "functional": "GGA-PBE",
  "state": "optimized geometry",
  "lattice": [[-2.595, 2.595, 4.505], [2.595, -2.595, 4.505], [2.595, 2.595, -4.505]],
  "species": ["Na", "Na", "Cd", "Ge", "O", "O", "O", "O"],
  "fractional_positions": [[0.000, 0.000, 0.000], [0.750, 0.250, 0.500], [0.500, 0.500, 0.000], [0.250, 0.750, 0.500], [0.164, 0.069, 0.513], [0.350, 0.836, 0.906], [0.556, 0.650, 0.487], [0.931, 0.444, 0.094]],
  "magmom_total_mub_per_cell": 0.00,
  "sg": "I-4 (82)",
  "raw_formation_energy_ev_per_atom": -1.602
}

No. 10
{
  "formula": "NaCdGePb",
  "functional": "GGA-PBE",
  "state": "optimized geometry",
  "lattice": [[0.000, 3.663, 3.663], [3.663, 0.000, 3.663], [3.663, 3.663, 0.000]],
  "species": ["Na", "Cd", "Ge", "Pb"],
  "fractional_positions": [[0.000, 0.000, 0.000], [0.500, 0.500, 0.500], [0.250, 0.250, 0.250], [0.750, 0.750, 0.750]],
  "formation_enthalpy_0k_mev_per_atom": 46,
  "magmom_total_mub_per_cell": 0.00,
  "sg": "F-43m (216)"
}

No. 11
{
  "formula": "Na2CdGe2Pd5",
  "functional": "GGA-PBE",
  "state": "optimized geometry",
  "lattice": [[9.880, 0.000, 0.000], [0.000, 9.880, 0.000], [0.000, 0.000, 3.635]],
  "species": ["Na", "Na", "Na", "Na", "Cd", "Cd", "Ge", "Ge", "Ge", "Ge", "Pd", "Pd", "Pd", "Pd", "Pd", "Pd", "Pd", "Pd", "Pd", "Pd"],
  "fractional_positions": [[0.173, 0.327, 0.000], [0.327, 0.827, 0.000], [0.673, 0.173, 0.000], [0.827, 0.673, 0.000], [0.000, 0.000, 0.000], [0.500, 0.500, 0.000], [0.126, 0.626, 0.000], [0.374, 0.126, 0.000], [0.626, 0.874, 0.000], [0.874, 0.374, 0.000], [0.000, 0.500, 0.500], [0.070, 0.792, 0.500], [0.208, 0.070, 0.500], [0.292, 0.570, 0.500], [0.430, 0.292, 0.500], [0.500, 0.000, 0.500], [0.570, 0.708, 0.500], [0.708, 0.430, 0.500], [0.792, 0.930, 0.500], [0.930, 0.208, 0.500]],
  "formation_enthalpy_0k_mev_per_atom": -394,
  "magmom_total_mub_per_cell": 0.00,
  "sg": "P4/mbm (127)"
}

No. 12
{
  "formula": "Na2CdGe4Pd3",
  "functional": "GGA-PBE",
  "state": "optimized geometry",
  "lattice": [[4.336, 0.000, 0.000], [0.000, 4.336, 0.000], [0.000, 0.000, 10.718]],
  "species": ["Na", "Na", "Cd", "Ge", "Ge", "Ge", "Ge", "Pd", "Pd", "Pd"],
  "fractional_positions": [[0.000, 0.500, 0.247], [0.500, 0.000, 0.753], [0.000, 0.000, 0.500], [0.000, 0.000, 0.000], [0.000, 0.500, 0.644], [0.500, 0.000, 0.356], [0.500, 0.500, 0.000], [0.000, 0.500, 0.874], [0.500, 0.000, 0.126], [0.500, 0.500, 0.500]],
  "formation_enthalpy_0k_mev_per_atom": -246,
  "magmom_total_mub_per_cell": 0.00,
  "sg": "P-4m2 (115)"
}